First-principles (PBE) data for Ac5La3Pm3 after structural relaxation, as listed in the Alexandria database.

## Properties
As for the space group: P-62m. For the volume, the calculation gives 41.2 Å³/atom. Its energy is -4.240 eV/atom.

abc: 11.9229 11.9229 3.6835
angles: 90.00 90.00 120.00
Fractional positions:
Ac1 0.0000 0.3404 0.0000
Ac2 0.3333 0.6667 0.0000
Ac3 0.3404 0.0000 0.0000
Ac4 0.6596 0.6596 0.0000
Ac5 0.6667 0.3333 0.0000
La1 0.0000 0.6090 0.5000
La2 0.3910 0.3910 0.5000
La3 0.6090 0.0000 0.5000
Pm1 0.0000 0.8429 0.0000
Pm2 0.1571 0.1571 0.0000
Pm3 0.8429 0.0000 0.0000